Here is TaSbMo2 at its PBEsol-relaxed geometry from Alexandria. Energies are from meta-GGA SCAN.

Values from the calculation:
size of the total moment: 0.0001 μB per atom
calculated total energy: -173.42 eV per cell

Unit cell a=3.348 b=4.481 c=4.481 alpha=90.00 beta=90.00 gamma=90.00
Fractional coordinates of all 4 atoms:
Mo1 0.000 0.000 0.500
Mo2 0.000 0.500 0.000
Sb1 0.500 0.500 0.500
Ta1 0.500 0.000 0.000

Here is BaHfIr3 at its PBEsol-relaxed geometry from Alexandria. Energies are from meta-GGA SCAN.

Values from the calculation:
size of the total moment: 0.0001 μB per atom
calculated total energy: -312.51 eV per cell

Unit cell a=4.907 b=4.907 c=4.907 alpha=90.00 beta=90.00 gamma=90.00
Fractional coordinates of all 5 atoms:
Ir1 0.000 0.500 0.000
Ir2 0.000 0.000 0.500
Ir3 0.500 0.000 0.000
Hf1 0.000 0.000 0.000
Ba1 0.500 0.500 0.500

Here is Sc2InBr at its PBEsol-relaxed geometry from Alexandria. Energies are from meta-GGA SCAN.

Values from the calculation:
size of the total moment: 0.1336 μB per atom
calculated total energy: -83.59 eV per cell

Unit cell a=3.308 b=3.308 c=8.811 alpha=90.00 beta=90.00 gamma=113.26
Last column: magnetic moment on the atom in μB.
Fractional coordinates of all 4 atoms:
Br1 0.500 0.500 0.500  0.00
In1 0.500 0.500 0.000  0.00
Sc1 0.000 0.000 0.260  0.15
Sc2 0.000 0.000 0.740  0.15

Here is LaZn2Mo at its PBEsol-relaxed geometry from Alexandria. Energies are from meta-GGA SCAN.

Values from the calculation:
size of the total moment: 0.0000 μB per atom
calculated total energy: -103.50 eV per cell

Unit cell a=2.922 b=2.922 c=10.060 alpha=81.65 beta=81.65 gamma=60.00
Fractional coordinates of all 4 atoms:
La1 0.500 0.500 0.500
Mo1 0.000 0.000 0.000
Zn1 0.261 0.261 0.217
Zn2 0.739 0.739 0.783

Here is HfTiNF2 at its PBEsol-relaxed geometry from Alexandria. Energies are from meta-GGA SCAN.

Values from the calculation:
size of the total moment: 0.5400 μB per atom
calculated total energy: -102.34 eV per cell

Unit cell a=3.802 b=3.802 c=4.207 alpha=90.00 beta=90.00 gamma=90.00
Last column: magnetic moment on the atom in μB.
Fractional coordinates of all 5 atoms:
N1 0.000 0.000 0.500  -0.08
F1 0.000 0.500 0.000  0.07
F2 0.500 0.000 0.000  0.07
Hf1 0.500 0.500 0.500  1.05
Ti1 0.000 0.000 0.000  1.02

Here is CaYIn2 at its PBEsol-relaxed geometry from Alexandria. Energies are from meta-GGA SCAN.

Values from the calculation:
size of the total moment: 0.0000 μB per atom
calculated total energy: -106.88 eV per cell

Unit cell a=3.694 b=5.316 c=5.316 alpha=90.00 beta=90.00 gamma=90.00
Fractional coordinates of all 4 atoms:
Y1 0.500 0.000 0.625
Ca1 0.500 0.500 0.125
In1 0.000 0.000 0.125
In2 0.000 0.500 0.625